Density functional theory data (GGA-PBE) for a relaxed structure of CsNa.

Cell and atoms, written as extended XYZ:
```
16
Lattice="15.548 0.000 0.000 0.000 15.548 0.000 0.000 0.000 4.701" Properties=species:S:1:pos:R:3 pbc="T T T"
Cs 2.086 12.889 0.000
Cs 2.659 2.086 0.000
Cs 5.115 5.688 2.350
Cs 5.688 10.433 2.350
Cs 9.860 5.115 2.350
Cs 10.433 9.860 2.350
Cs 12.889 13.462 0.000
Cs 13.462 2.659 0.000
Na 0.473 5.764 2.350
Na 2.010 8.247 0.000
Na 5.764 15.075 2.350
Na 7.301 2.010 0.000
Na 8.247 13.538 0.000
Na 9.784 0.473 2.350
Na 13.538 7.301 0.000
Na 15.075 9.784 2.350
```

Results
Energy of formation from the pure elements in kJ per mole of atoms: 5.6
DOS at the Fermi energy in states/eV per cell: 15.4
E_tot in eV per atom: -1.03